# 1
Compound: TlZn2Hg
Source: the Alexandria database
Functional: PBE
Structure: relaxed

a b c (Å): 5.344 5.344 5.344
angles (deg): 134.81 119.60 78.54
Fractional positions:
Zn 0.987 0.987 0.000
Tl 0.250 0.750 0.500
Zn 0.513 0.513 0.000
Hg 0.750 0.250 0.500

volume = 22.84 Å³ per atom
offset from the most stable computed form = 0.066 eV per atom
space-group type = Immm, No. 71

---

# 2
Compound: TlZnHg2
Source: the Alexandria database
Functional: PBE
Structure: relaxed

a b c (Å): 3.444 3.486 8.317
angles (deg): 90.00 90.00 90.00
Fractional positions:
Hg 0.000 0.000 0.538
Hg 0.000 0.000 0.962
Tl 0.500 0.500 0.250
Zn 0.500 0.500 0.750

volume = 24.97 Å³ per atom
space-group type = Pmmm, No. 47
uncorrected energy = -1.00 eV per atom

---

# 3
Compound: TlZn2Hg
Source: the Alexandria database
Functional: PBE
Structure: relaxed

a b c (Å): 5.022 5.022 5.022
angles (deg): 60.00 60.00 60.00
Fractional positions:
Zn 0.750 0.750 0.750
Tl 0.500 0.500 0.500
Zn 0.250 0.250 0.250
Hg 0.000 0.000 0.000

volume = 22.39 Å³ per atom
offset from the most stable computed form = 0.064 eV per atom
space-group type = Fm-3m, No. 225

---

# 4
Compound: Tl5ZnHg6
Source: the Alexandria database
Functional: PBE
Structure: relaxed

a b c (Å): 10.205 5.949 6.611
angles (deg): 63.26 81.94 71.85
Fractional positions:
Hg 0.772 0.372 0.691
Tl 0.000 0.348 0.304
Tl 0.500 0.816 0.368
Zn 0.000 0.000 0.000
Tl 0.000 0.652 0.696
Hg 0.228 0.628 0.309
Tl 0.500 0.500 0.000
Hg 0.772 0.063 0.309
Hg 0.228 0.937 0.691
Hg 0.261 0.221 0.000
Hg 0.739 0.779 0.000
Tl 0.500 0.184 0.632

volume = 28.38 Å³ per atom
space-group type = C2/m, No. 12
uncorrected energy = -1.22 eV per atom

---

# 5
Compound: TlZnHg2
Source: the Alexandria database
Functional: PBE
Structure: relaxed

a b c (Å): 3.967 3.660 7.521
angles (deg): 67.96 90.00 90.00
Fractional positions:
Zn 0.500 0.750 0.750
Hg 0.000 0.506 0.531
Tl 0.500 0.250 0.250
Hg 0.000 0.994 0.969

volume = 25.30 Å³ per atom
space-group type = P2/m, No. 10
uncorrected energy = -0.98 eV per atom

---

# 6
Compound: Tl2ZnHg
Source: the Alexandria database
Functional: PBE
Structure: relaxed

a b c (Å): 9.603 9.603 9.603
angles (deg): 21.79 21.79 21.79
Fractional positions:
Tl 0.239 0.239 0.239
Tl 0.004 0.004 0.004
Hg 0.761 0.761 0.761
Zn 0.495 0.495 0.495

volume = 26.73 Å³ per atom
offset from the most stable computed form = 0.000 eV per atom
space-group type = R3m, No. 160

---

# 7
Compound: Tl4ZnHg2
Source: the Alexandria database
Functional: PBE
Structure: relaxed

a b c (Å): 5.295 5.295 8.968
angles (deg): 107.17 107.17 90.00
Fractional positions:
Hg 0.630 0.630 0.260
Tl 0.818 0.818 0.636
Zn 0.000 0.000 0.000
Tl 0.182 0.182 0.364
Hg 0.370 0.370 0.740
Tl 0.500 0.000 0.000
Tl 0.000 0.500 0.000

volume = 32.65 Å³ per atom
space-group type = I4/mmm, No. 139
uncorrected energy = -1.48 eV per atom

---

# 8
Compound: Tl4ZnHg6
Source: the Alexandria database
Functional: PBE
Structure: relaxed

a b c (Å): 6.315 10.613 10.614
angles (deg): 120.00 90.00 90.00
Fractional positions:
Hg 0.574 0.388 0.194
Hg 0.574 0.806 0.194
Hg 0.275 0.513 0.027
Tl 0.566 0.132 0.263
Zn 0.872 0.333 0.667
Hg 0.275 0.513 0.487
Hg 0.573 0.806 0.612
Hg 0.074 0.612 0.806
Tl 0.912 0.667 0.333
Hg 0.775 0.487 0.513
Tl 0.066 0.868 0.736
Hg 0.074 0.194 0.806
Tl 0.566 0.737 0.868
Hg 0.775 0.487 0.973
Tl 0.066 0.264 0.132
Zn 0.372 0.667 0.333
Tl 0.566 0.132 0.868
Hg 0.775 0.027 0.513
Hg 0.073 0.194 0.388
Tl 0.412 0.333 0.667
Tl 0.066 0.868 0.132
Hg 0.275 0.973 0.486

volume = 28.00 Å³ per atom
space-group type = P6_3mc, No. 186
uncorrected energy = -1.11 eV per atom

---

# 9
Compound: TlZnHg2
Source: the Alexandria database
Functional: PBE
Structure: relaxed

a b c (Å): 3.509 4.069 7.071
angles (deg): 90.00 90.00 90.00
Fractional positions:
Zn 0.500 0.500 0.776
Tl 0.000 0.000 0.515
Hg 0.000 0.000 0.975
Hg 0.500 0.500 0.234

volume = 25.24 Å³ per atom
space-group type = Pmm2, No. 25
uncorrected energy = -0.99 eV per atom

---

# 10
Compound: Tl12Zn3Hg5
Source: the Alexandria database
Functional: PBE
Structure: relaxed

a b c (Å): 15.155 15.155 15.155
angles (deg): 109.47 109.47 109.47
Fractional positions:
Tl 0.109 0.940 0.372
Tl 0.628 0.560 0.891
Tl 0.168 0.109 0.737
Hg 0.375 0.125 0.750
Zn 0.875 0.125 0.250
Tl 0.372 0.440 0.109
Hg 0.250 0.875 0.125
Hg 0.500 0.000 0.500
Hg 0.500 0.500 0.500
Tl 0.832 0.891 0.263
Hg 0.250 0.375 0.625
Zn 0.625 0.250 0.375
Tl 0.763 0.332 0.891
Hg 0.500 0.000 0.000
Tl 0.128 0.737 0.569
Zn 0.750 0.375 0.125
Tl 0.431 0.668 0.060
Tl 0.440 0.069 0.332
Tl 0.609 0.737 0.668
Tl 0.069 0.628 0.737
Hg 0.000 0.000 0.000
Tl 0.060 0.168 0.431
Hg 0.000 0.000 0.500
Tl 0.668 0.431 0.560
Tl 0.832 0.940 0.069
Hg 0.625 0.875 0.250
Tl 0.372 0.931 0.763
Tl 0.569 0.332 0.940
Tl 0.431 0.763 0.872
Tl 0.931 0.560 0.168
Tl 0.332 0.763 0.391
Hg 0.000 0.500 0.000
Tl 0.872 0.263 0.431
Tl 0.668 0.237 0.609
Tl 0.263 0.872 0.931
Zn 0.125 0.250 0.875
Tl 0.931 0.372 0.263
Tl 0.391 0.128 0.560
Tl 0.128 0.391 0.060
Tl 0.109 0.168 0.237
Tl 0.237 0.668 0.109
Tl 0.891 0.832 0.763
Tl 0.069 0.440 0.832
Hg 0.500 0.500 0.000
Hg 0.125 0.375 0.250
Tl 0.332 0.569 0.440
Zn 0.125 0.875 0.750
Zn 0.375 0.625 0.250
Zn 0.250 0.625 0.875
Zn 0.375 0.750 0.625
Tl 0.737 0.609 0.168
Hg 0.125 0.750 0.375
Hg 0.875 0.250 0.625
Tl 0.440 0.372 0.609
Tl 0.168 0.060 0.931
Hg 0.375 0.250 0.125
Tl 0.763 0.431 0.372
Tl 0.060 0.891 0.128
Zn 0.875 0.750 0.125
Tl 0.609 0.872 0.440
Hg 0.750 0.625 0.375
Tl 0.940 0.109 0.872
Tl 0.891 0.060 0.628
Tl 0.263 0.391 0.832
Tl 0.569 0.237 0.128
Zn 0.750 0.875 0.625
Tl 0.628 0.069 0.237
Tl 0.737 0.128 0.069
Tl 0.940 0.832 0.569
Tl 0.237 0.569 0.628
Zn 0.625 0.375 0.750
Hg 0.875 0.625 0.750
Hg 0.750 0.125 0.875
Hg 0.000 0.500 0.500
Tl 0.391 0.263 0.332
Tl 0.872 0.609 0.940
Hg 0.625 0.750 0.875
Tl 0.560 0.931 0.668
Tl 0.560 0.628 0.391
Zn 0.250 0.125 0.375

volume = 33.49 Å³ per atom
space-group type = Ia-3d, No. 230
uncorrected energy = -1.49 eV per atom

---

# 11
Compound: Tl3ZnHg
Source: the Alexandria database
Functional: PBE
Structure: relaxed

a b c (Å): 5.421 5.421 5.421
angles (deg): 90.00 90.00 90.00
Fractional positions:
Tl 0.500 0.000 0.000
Tl 0.000 0.000 0.500
Hg 0.500 0.500 0.500
Zn 0.000 0.000 0.000
Tl 0.000 0.500 0.000

volume = 31.87 Å³ per atom
offset from the most stable computed form = 0.000 eV per atom
space-group type = Pm-3m, No. 221

---

# 12
Compound: Tl2ZnHg
Source: the Alexandria database
Functional: PBE
Structure: relaxed

a b c (Å): 4.735 4.896 4.581
angles (deg): 90.00 90.00 90.00
Fractional positions:
Zn 0.500 0.000 0.500
Hg 0.000 0.500 0.500
Tl 0.500 0.500 0.000
Tl 0.000 0.000 0.000

volume = 26.55 Å³ per atom
offset from the most stable computed form = 0.037 eV per atom
space-group type = Pmmm, No. 47